P.
Here is an optimized crystal structure of YEr2Mg from Alexandria. Energies are from PBE.

Output
The density of states at the Fermi level comes out at 4.8 states/eV/cell. The symmetry is R-3m. The total magnetization comes out at 0.00 Bohr magnetons per cell. For the volume, the calculation gives 29.63 A^3/atom.

Lattice parameters (Å, degrees): 11.2995 11.2995 11.2995 17.86 17.86 17.86
Fractional coordinates of all 4 atoms:
Y1 0.0000 0.0000 0.0000
Er1 0.2469 0.2469 0.2469
Er2 0.7531 0.7531 0.7531
Mg1 0.5000 0.5000 0.5000



Q.
Here is an optimized crystal structure of YEr2Mg from Alexandria. Energies are from PBE.

Output
The density of states at the Fermi level comes out at 6.1 states/eV/cell. The symmetry is R3m. The total magnetization comes out at 0.00 Bohr magnetons per cell. For the volume, the calculation gives 29.72 A^3/atom.

Lattice parameters (Å, degrees): 11.5368 11.5368 11.5368 17.33 17.33 17.33
Fractional coordinates of all 4 atoms:
Y1 0.0000 0.0000 0.0000
Er1 0.4177 0.4177 0.4177
Er2 0.5819 0.5819 0.5819
Mg1 0.8332 0.8332 0.8332



What should be chosen as the most stable of them? Choose P.



P.
Here is an optimized crystal structure of Y4ErMg2 from Alexandria. Energies are from PBE.

Output
The density of states at the Fermi level comes out at 13.0 states/eV/cell. The symmetry is R-3m. The total magnetization comes out at 0.00 Bohr magnetons per cell. For the volume, the calculation gives 33.38 A^3/atom.

Lattice parameters (Å, degrees): 9.2966 9.2966 9.2966 34.80 34.80 34.80
Fractional coordinates of all 7 atoms:
Y1 0.1288 0.1288 0.1288
Y2 0.2560 0.2560 0.2560
Y3 0.7440 0.7440 0.7440
Y4 0.8712 0.8712 0.8712
Er1 0.5000 0.5000 0.5000
Mg1 0.3783 0.3783 0.3783
Mg2 0.6217 0.6217 0.6217



Q.
Here is an optimized crystal structure of Y4ErMg2 from Alexandria. Energies are from PBE.

Output
The density of states at the Fermi level comes out at 8.4 states/eV/cell. The symmetry is R-3m. The total magnetization comes out at 0.00 Bohr magnetons per cell. For the volume, the calculation gives 29.39 A^3/atom.

Lattice parameters (Å, degrees): 8.6030 8.6030 8.6030 36.91 36.91 36.91
Fractional coordinates of all 7 atoms:
Y1 0.0749 0.0749 0.0749
Y2 0.3456 0.3456 0.3456
Y3 0.6544 0.6544 0.6544
Y4 0.9251 0.9251 0.9251
Er1 0.5000 0.5000 0.5000
Mg1 0.2114 0.2114 0.2114
Mg2 0.7886 0.7886 0.7886



What should be chosen as the most stable of them? Choose Q.



P.
Here is an optimized crystal structure of Y2Er8Mg from Alexandria. Energies are from PBE.

Output
The density of states at the Fermi level comes out at 17.9 states/eV/cell. The symmetry is C2/m. The total magnetization comes out at 0.00 Bohr magnetons per cell. For the volume, the calculation gives 30.98 A^3/atom.

Lattice parameters (Å, degrees): 8.6934 8.6934 6.6049 100.46 100.46 44.13
Fractional coordinates of all 11 atoms:
Y1 0.1866 0.1866 0.3009
Y2 0.8134 0.8134 0.6991
Er1 0.1776 0.6599 0.1147
Er2 0.2470 0.2470 0.8226
Er3 0.3401 0.8224 0.8853
Er4 0.4063 0.4063 0.5871
Er5 0.5937 0.5937 0.4129
Er6 0.6599 0.1776 0.1147
Er7 0.7530 0.7530 0.1774
Er8 0.8224 0.3401 0.8853
Mg1 0.0000 0.0000 0.5000



Q.
Here is an optimized crystal structure of Y2Er8Mg from Alexandria. Energies are from PBE.

Output
The density of states at the Fermi level comes out at 18.5 states/eV/cell. The symmetry is Immm. The total magnetization comes out at 0.00 Bohr magnetons per cell. For the volume, the calculation gives 31.48 A^3/atom.

Lattice parameters (Å, degrees): 9.7653 9.7653 9.7653 147.53 135.76 55.94
Fractional coordinates of all 11 atoms:
Y1 0.1938 0.1938 0.0000
Y2 0.8062 0.8062 0.0000
Er1 0.0996 0.3621 0.7375
Er2 0.2472 0.0000 0.2472
Er3 0.3183 0.8183 0.5000
Er4 0.3754 0.6379 0.7375
Er5 0.6246 0.3621 0.2625
Er6 0.6817 0.1817 0.5000
Er7 0.7528 0.0000 0.7528
Er8 0.9004 0.6379 0.2625
Mg1 0.5000 0.5000 0.0000



What should be chosen as the most stable of them? Choose Q.